# 1
Here is GaCuAu2 after structural relaxation from Alexandria. Energies are from PBE.

Summary:
total magnetic moment = 0.0 μB/f.u.
density of states at the Fermi level = 5.367 states/eV/cell
V = 282.0 Å³ per cell
formation energy from the elements = 36 meV/atom

Cell: 7.204 7.204 5.435 Å, 90.00 90.00 90.00°
Atoms (fractional coordinates):
1 Ga 0.000 0.000 0.000
2 Ga 0.000 0.500 0.250
3 Ga 0.500 0.000 0.750
4 Ga 0.500 0.500 0.500
5 Cu 0.000 0.000 0.500
6 Cu 0.000 0.500 0.750
7 Cu 0.500 0.000 0.250
8 Cu 0.500 0.500 0.000
9 Au 0.250 0.250 0.125
10 Au 0.250 0.250 0.625
11 Au 0.250 0.750 0.375
12 Au 0.250 0.750 0.875
13 Au 0.750 0.250 0.375
14 Au 0.750 0.250 0.875
15 Au 0.750 0.750 0.125
16 Au 0.750 0.750 0.625

=====

# 2
Here is Tm2ThCd3 after structural relaxation from Alexandria. Energies are from PBE.

Summary:
total magnetic moment = 0.0 μB/f.u.
density of states at the Fermi level = 5.256 states/eV/cell
V = 156.5 Å³ per cell
formation energy from the elements = -229 meV/atom

Cell: 3.560 3.560 12.352 Å, 90.00 90.00 90.00°
Atoms (fractional coordinates):
1 Tm 0.000 0.000 0.159
2 Tm 0.000 0.000 0.841
3 Th 0.000 0.000 0.500
4 Cd 0.500 0.500 0.000
5 Cd 0.500 0.500 0.315
6 Cd 0.500 0.500 0.685

=====

# 3
Here is SrSb2As after structural relaxation from Alexandria. Energies are from PBE.

Summary:
total magnetic moment = 0.0 μB/f.u.
density of states at the Fermi level = 2.838 states/eV/cell
V = 109.2 Å³ per cell
formation energy from raw total energies = -143.3 kJ/mol of formula units

Cell: 4.563 4.563 5.247 Å, 90.00 90.00 90.00°
Atoms (fractional coordinates):
1 Sr 0.000 0.000 0.000
2 Sb 0.000 0.500 0.500
3 Sb 0.500 0.000 0.500
4 As 0.500 0.500 0.000